Entry 1:
The following is a DFT calculation (PBEsol) of Ba2HgPt after structural relaxation.

Geometry as CIF:
```
data_Ba2HgPt
_symmetry_space_group_name_H-M 'P 4/m m m'
_symmetry_Int_Tables_number 123
_symmetry_space_group_name_Hall '-P 4 2'
_cell_length_a 3.894
_cell_length_b 3.894
_cell_length_c 8.012
_cell_angle_alpha 90.00
_cell_angle_beta 90.00
_cell_angle_gamma 90.00
loop_
_atom_site_label
_atom_site_fract_x
_atom_site_fract_y
_atom_site_fract_z
Ba1 0.000 0.000 0.225
Hg1 0.500 0.500 0.500
Pt1 0.500 0.500 0.000
```

Summary:
The value obtained for the raw total energy is -0.1292 Ha/atom. The energy of formation comes out at -0.558 eV/atom. The volume is 121.5 Å³/cell. Its crystal system is tetragonal. The calculation puts the total moment at 0.00 Bohr magnetons per cell.

=====

Entry 2:
The following is a DFT calculation (PBEsol) of BaHg2Pt2 after structural relaxation.

Geometry as CIF:
```
data_BaHg2Pt2
_symmetry_space_group_name_H-M 'I 4/m m m'
_symmetry_Int_Tables_number 139
_symmetry_space_group_name_Hall '-I 4 2'
_cell_length_a 4.490
_cell_length_b 4.490
_cell_length_c 11.752
_cell_angle_alpha 90.00
_cell_angle_beta 90.00
_cell_angle_gamma 90.00
loop_
_atom_site_label
_atom_site_fract_x
_atom_site_fract_y
_atom_site_fract_z
Ba1 0.000 0.000 0.000
Hg1 0.000 0.500 0.250
Pt1 0.000 0.000 0.392
```

Summary:
The value obtained for the raw total energy is -0.1418 Ha/atom. The energy of formation comes out at -0.418 eV/atom. The volume is 236.9 Å³/cell. Its crystal system is tetragonal. The calculation puts the total moment at 0.00 Bohr magnetons per cell.

=====

Entry 3:
The following is a DFT calculation (PBEsol) of Ba2HgPt after structural relaxation.

Geometry as CIF:
```
data_Ba2HgPt
_symmetry_space_group_name_H-M 'R -3 m'
_symmetry_Int_Tables_number 166
_symmetry_space_group_name_Hall '-R 3 2"'
_cell_length_a 4.4970
_cell_length_b 4.4970
_cell_length_c 24.5577
_cell_angle_alpha 90.00
_cell_angle_beta 90.00
_cell_angle_gamma 120.00
loop_
_atom_site_label
_atom_site_fract_x
_atom_site_fract_y
_atom_site_fract_z
Ba1 0.0000 0.0000 0.2361
Hg1 0.0000 0.0000 0.0000
Pt1 0.0000 0.0000 0.5000
```

Summary:
The value obtained for the raw total energy is -0.1276 Ha/atom. The energy of formation comes out at -0.515 eV/atom. The volume is 430.1 Å³/cell. Its crystal system is trigonal. The calculation puts the total moment at 0.00 Bohr magnetons per cell.